A relaxed Ce4InHg2 crystal, computed with GGA-PBE.

a b c (Å): 5.3067 5.3067 8.7259
angles (deg): 72.30 72.30 60.00
Site moments in Bohr magnetons follow the coordinates.
Atoms (fractional coordinates):
Hg  0.2681  0.2681  0.1958  0.00
Hg  0.7319  0.7319  0.8042  0.00
Ce  0.1377  0.1377  0.5869  1.20
Ce  0.4007  0.4007  0.7979  0.84
Ce  0.5993  0.5993  0.2021  0.84
Ce  0.8623  0.8623  0.4131  1.20
In  0.0000  0.0000  0.0000  -0.01

Summary:
spin magnetization	5.49	μB per formula unit
mass density	8.971	g/cm3
E_form	-0.137	eV per atom
D(E_F)	3.34	states/eV per atom
polymorph energy (0 for the lowest one)	0.000	eV per atom
VASP energy	-0.2944	Ry/atom


A relaxed Hg2RhC crystal, computed with GGA-PBE.

a b c (Å): 9.6560 9.6560 7.1012
angles (deg): 47.17 47.17 90.00
Atoms (fractional coordinates):
Rh  0.0000  0.0000  0.0000
Rh  0.7500  0.2500  0.5000
Hg  0.3753  0.6250  0.2500
Hg  0.3747  0.1250  0.2500
Hg  0.3750  0.6253  0.7500
Hg  0.8750  0.6247  0.7500
C  0.5000  0.5000  0.0000
C  0.2500  0.7500  0.5000

Summary:
spin magnetization	0.00	μB per formula unit
mass density	9.420	g/cm3
E_form	0.784	eV per atom
D(E_F)	0.48	states/eV per atom
VASP energy	-0.2581	Ry/atom


A relaxed Mg2AgAs crystal, computed with GGA-PBE.

a b c (Å): 3.0944 3.0944 8.3767
angles (deg): 90.00 90.00 90.00
Atoms (fractional coordinates):
Ag  0.0000  0.0000  0.4986
Mg  0.5000  0.5000  0.2697
Mg  0.0000  0.0000  0.9805
As  0.5000  0.5000  0.7512

Summary:
spin magnetization	0.00	μB per formula unit
mass density	4.791	g/cm3
E_form	-0.048	eV per atom
D(E_F)	0.27	states/eV per atom
VASP energy	-0.1999	Ry/atom